No. 1
# TmScO GGA-PBE relaxed
# DOS at the Fermi energy	3.4	states/eV per cell
# raw total energy	-7.1075	eV/atom
# theoretical density	7.24	g/cm³
# formation energy without anion corrections	-1.854	eV per atom
data_TmScO
_symmetry_space_group_name_H-M 'P 3 m 1'
_symmetry_Int_Tables_number 156
_cell_length_a 3.3505
_cell_length_b 3.3505
_cell_length_c 5.4229
_cell_angle_alpha 90.00
_cell_angle_beta 90.00
_cell_angle_gamma 120.00
loop_
_symmetry_equiv_pos_as_xyz
'x,y,z'
'-y,x-y,z'
'-x+y,-x,z'
'-y,-x,z'
'-x+y,y,z'
'x,x-y,z'
loop_
_atom_site_label
_atom_site_fract_x
_atom_site_fract_y
_atom_site_fract_z
Tm1 0.0000 0.0000 0.0000
Sc1 0.6667 0.3333 0.4770
O1 0.3333 0.6667 0.2553

***

No. 2
# Tm2ScO4 GGA-PBE relaxed
# DOS at the Fermi energy	3.2	states/eV per cell
# raw total energy	-8.2925	eV/atom
# theoretical density	7.84	g/cm³
# formation energy without anion corrections	-3.277	eV per atom
data_Tm2ScO4
_symmetry_space_group_name_H-M 'C 1 2/m 1'
_symmetry_Int_Tables_number 12
_cell_length_a 11.322
_cell_length_b 3.308
_cell_length_c 5.746
_cell_angle_alpha 90.00
_cell_angle_beta 118.46
_cell_angle_gamma 90.00
loop_
_symmetry_equiv_pos_as_xyz
'x,y,z'
'-x,-y,-z'
'-x,y,-z'
'x,-y,z'
'x+1/2,y+1/2,z'
'-x+1/2,-y+1/2,-z'
'-x+1/2,y+1/2,-z'
'x+1/2,-y+1/2,z'
loop_
_atom_site_label
_atom_site_fract_x
_atom_site_fract_y
_atom_site_fract_z
Tm1 0.203 0.000 0.203
Sc1 0.000 0.500 0.500
O1 0.126 0.500 0.919
O2 0.143 0.000 0.519

***

No. 3
# TmSc2UO8 GGA-PBE relaxed
# DOS at the Fermi energy	18.8	states/eV per cell
# raw total energy	-8.8561	eV/atom
# theoretical density	6.36	g/cm³
# formation energy without anion corrections	-3.182	eV per atom
data_TmSc2UO8
_symmetry_space_group_name_H-M 'C m m m'
_symmetry_Int_Tables_number 65
_symmetry_space_group_name_Hall '-C 2 2'
_cell_length_a 6.946
_cell_length_b 6.965
_cell_length_c 6.749
_cell_angle_alpha 90.00
_cell_angle_beta 90.00
_cell_angle_gamma 90.00
loop_
_atom_site_label
_atom_site_fract_x
_atom_site_fract_y
_atom_site_fract_z
Tm1 0.000 0.000 0.000
Sc1 0.000 0.500 0.239
U1 0.000 0.000 0.500
O1 0.000 0.195 0.265
O2 0.185 0.500 0.000
O3 0.200 0.500 0.500